No. 1
Sm6Bi2C: relaxed, PBE.

## Properties
Symmetry ... I4/mmm, No. 139
E_form ... -0.418 eV per atom
Size of the total moment ... 0.00 μB/f.u.

Cell: 7.113 7.113 7.113 Å, 119.90 119.90 90.17°
Element x y z (fractional)
Sm 0.246 0.246 0.000
Sm 0.246 0.246 0.491
Sm 0.246 0.754 0.000
Sm 0.754 0.246 0.000
Sm 0.754 0.754 0.000
Sm 0.754 0.754 0.509
Bi 0.250 0.750 0.500
Bi 0.750 0.250 0.500
C 0.000 0.000 0.000

No. 2
CaYSc: relaxed, PBE.

## Properties
Symmetry ... P3m1, No. 156
E_form ... 0.138 eV per atom
Size of the total moment ... 0.43 μB/f.u.

Cell: 3.542 3.542 8.813 Å, 90.00 90.00 120.00°
Element x y z (fractional)
Ca 0.000 0.000 0.000
Y 0.333 0.667 0.635
Sc 0.667 0.333 0.337

No. 3
Tb2GeCl3: relaxed, PBE.

## Properties
Formation energy (no corrections) ... -1.64 eV per atom
Symmetry ... C2/m, No. 12
Size of the total moment ... 0.00 μB/f.u.

Cell: 9.332 9.332 12.675 Å, 128.65 128.65 24.70°
Element x y z (fractional)
Tb 0.116 0.116 0.442
Tb 0.373 0.373 0.173
Tb 0.627 0.627 0.827
Tb 0.884 0.884 0.558
Ge 0.066 0.066 0.625
Ge 0.934 0.934 0.375
Cl 0.177 0.177 0.021
Cl 0.257 0.257 0.394
Cl 0.451 0.451 0.758
Cl 0.549 0.549 0.242
Cl 0.743 0.743 0.606
Cl 0.823 0.823 0.979

No. 4
Tb2YTmO6: relaxed, PBE.

## Properties
Formation energy (no corrections) ... -3.54 eV per atom
Symmetry ... R3, No. 146
Size of the total moment ... 0.00 μB/f.u.

Cell: 6.066 6.066 6.066 Å, 57.23 57.23 57.23°
Element x y z (fractional)
Tb 0.000 0.000 0.000
Tb 0.499 0.499 0.499
Y 0.217 0.217 0.217
Tm 0.715 0.715 0.715
O 0.099 0.409 0.819
O 0.323 0.902 0.606
O 0.409 0.819 0.099
O 0.606 0.323 0.902
O 0.819 0.099 0.409
O 0.902 0.606 0.323

No. 5
BaSc2Zn: relaxed, PBE.

## Properties
Symmetry ... P2/m, No. 10
E_form ... 0.204 eV per atom
Size of the total moment ... 0.00 μB/f.u.

Cell: 3.638 4.849 6.717 Å, 90.00 105.37 90.00°
Element x y z (fractional)
Ba 0.000 0.000 0.000
Sc 0.331 0.500 0.693
Sc 0.669 0.500 0.307
Zn 0.500 0.000 0.500

No. 6
Sm4MgCu5: relaxed, PBE.

## Properties
Symmetry ... P4/mmm, No. 123
E_form ... -0.142 eV per atom
Size of the total moment ... 0.00 μB/f.u.

Cell: 3.464 3.464 17.492 Å, 90.00 90.00 90.00°
Element x y z (fractional)
Sm 0.000 0.000 0.104
Sm 0.000 0.000 0.312
Sm 0.000 0.000 0.688
Sm 0.000 0.000 0.896
Mg 0.000 0.000 0.500
Cu 0.500 0.500 0.000
Cu 0.500 0.500 0.209
Cu 0.500 0.500 0.418
Cu 0.500 0.500 0.582
Cu 0.500 0.500 0.791

No. 7
TlGeAu: relaxed, PBE.

## Properties
Symmetry ... Cm, No. 8
E_form ... 0.043 eV per atom
Size of the total moment ... 0.00 μB/f.u.

Cell: 6.024 6.024 4.531 Å, 112.07 112.07 85.82°
Element x y z (fractional)
Tl 0.000 0.000 0.000
Tl 0.655 0.655 0.155
Ge 0.250 0.573 0.414
Ge 0.573 0.250 0.414
Au 0.038 0.414 0.728
Au 0.414 0.038 0.728

No. 8
Ac2ThIrO8: relaxed, PBE.

## Properties
Formation energy (no corrections) ... -2.44 eV per atom
Symmetry ... P2/m, No. 10
Size of the total moment ... 2.00 μB/f.u.

Cell: 4.483 7.400 5.625 Å, 90.00 96.10 90.00°
Element x y z (fractional)
Ac 0.000 0.239 0.000
Ac 0.000 0.761 0.000
Th 0.500 0.500 0.500
Ir 0.500 0.000 0.500
O 0.065 0.500 0.257
O 0.124 0.000 0.324
O 0.428 0.217 0.719
O 0.428 0.783 0.719
O 0.572 0.217 0.281
O 0.572 0.783 0.281
O 0.876 0.000 0.676
O 0.935 0.500 0.743